Compound: Lu2TcSn
Source: OQMD via LeMat-Bulk
Functional: PBE
Structure: optimized geometry

The structure belongs to space group F-43m (No. 216); the cell edges are 6.9217, 6.9217 and 6.9217 Å and the angles 90.00°, 90.00° and 90.00°. The asymmetric unit holds Lu at (0.0000, 0.0000, 0.0000), Lu at (0.2500, 0.2500, 0.2500), Tc at (0.2500, 0.2500, 0.7500) and Sn at (0.0000, 0.0000, 0.5000).

For the spin magnetization, the calculation gives 0.04 Bohr magnetons per cell. Its total DFT energy (no corrections) is -6.00 eV per atom.

Compound: LuTcSn2
Source: OQMD via LeMat-Bulk
Functional: PBE
Structure: optimized geometry

The structure belongs to space group F-43m (No. 216); the cell edges are 6.2697, 6.2697 and 6.2697 Å and the angles 90.00°, 90.00° and 90.00°. The asymmetric unit holds Lu at (0.0000, 0.0000, 0.0000), Tc at (0.2500, 0.2500, 0.7500), Sn at (0.0000, 0.0000, 0.5000) and Sn at (0.2500, 0.2500, 0.2500).

For the spin magnetization, the calculation gives 0.01 Bohr magnetons per cell. Its total DFT energy (no corrections) is -4.71 eV per atom.

Compound: LuSnTe
Source: OQMD via LeMat-Bulk
Functional: PBE
Structure: optimized geometry

The structure belongs to space group F-43m (No. 216); the cell edges are 7.2175, 7.2175 and 7.2175 Å and the angles 90.00°, 90.00° and 90.00°. The asymmetric unit holds Lu at (0.0000, 0.0000, 0.0000), Sn at (0.0000, 0.0000, 0.5000) and Te at (0.2500, 0.2500, 0.7500).

For the spin magnetization, the calculation gives 0.02 Bohr magnetons per cell. Its total DFT energy (no corrections) is -4.06 eV per atom.

Compound: LuThSn2
Source: OQMD via LeMat-Bulk
Functional: PBE
Structure: optimized geometry

The structure belongs to space group P3m1 (No. 156); the cell edges are 4.3605, 4.3605 and 8.5155 Å and the angles 90.00°, 90.00° and 120.00°. The asymmetric unit holds Lu at (0.0000, 0.0000, 0.0000), Th at (0.6667, 0.3333, 0.5910), Sn at (0.0000, 0.0000, 0.3465) and Sn at (0.3333, 0.6667, 0.8155).

For the spin magnetization, the calculation gives 0.01 Bohr magnetons per cell. Its total DFT energy (no corrections) is -5.08 eV per atom.